# 1
Below is crystalline CsNi2C at its relaxed geometry, with properties calculated at the PBE-GGA level.

POSCAR file:
```
CsNi2C
1.0
0.0000 3.1304 3.1304
3.1304 0.0000 3.1304
3.1304 3.1304 0.0000
Cs Ni C
1 2 1
Cartesian
0.0000 0.0000 0.0000 Cs
1.5652 1.5652 1.5652 Ni
4.6956 4.6956 4.6956 Ni
3.1304 3.1304 3.1304 C
```

Computed properties:
- Fermi-level density of states (states/eV per atom) = 1.390
- energy of formation (eV/atom) = 2.226
- spin magnetization (μB/f.u.) = 0.60
- space-group type = Fm-3m, No. 225
- calculated volume (Å³/f.u.) = 61
- excess energy over the best structure of this formula in the dataset (meV per atom) = 1692
- VASP energy (hartree per atom) = -0.1170



# 2
Below is crystalline NdZrOsPd at its relaxed geometry, with properties calculated at the PBE-GGA level.

POSCAR file:
```
NdZrOsPd
1.0
0.0000 3.4376 3.4376
3.4376 0.0000 3.4376
3.4376 3.4376 0.0000
Nd Zr Os Pd
1 1 1 1
Cartesian
0.0000 0.0000 0.0000 Nd
3.4376 3.4376 3.4376 Zr
1.7188 1.7188 1.7188 Os
5.1564 5.1564 5.1564 Pd
```

Computed properties:
- Fermi-level density of states (states/eV per atom) = 0.995
- energy of formation (eV/atom) = -0.349
- spin magnetization (μB/f.u.) = 0.00
- space-group type = F-43m, No. 216
- calculated volume (Å³/f.u.) = 81
- VASP energy (hartree per atom) = -0.2860



# 3
Below is crystalline LuCu2Pd at its relaxed geometry, with properties calculated at the PBE-GGA level.

POSCAR file:
```
LuCu2Pd
1.0
0.0000 3.1824 3.1824
3.1824 0.0000 3.1824
3.1824 3.1824 0.0000
Lu Cu Pd
1 2 1
Cartesian
0.0000 0.0000 0.0000 Lu
1.5912 1.5912 1.5912 Cu
4.7736 4.7736 4.7736 Cu
3.1824 3.1824 3.1824 Pd
```

Computed properties:
- Fermi-level density of states (states/eV per atom) = 0.363
- energy of formation (eV/atom) = -0.385
- spin magnetization (μB/f.u.) = 0.00
- space-group type = Fm-3m, No. 225
- calculated volume (Å³/f.u.) = 64
- excess energy over the best structure of this formula in the dataset (meV per atom) = 0
- VASP energy (hartree per atom) = -0.1787